# 1
Na4SnO3: relaxed, PBE.

a b c (Å): 8.9235 8.9235 5.9547
angles (deg): 96.50 96.50 141.54
Fractional coordinates of all 16 atoms:
Na (0.0339, 0.9661, 0.5000)
Na (0.1086, 0.8261, 0.0590)
Na (0.2646, 0.7715, 0.5020)
Na (0.4726, 0.5586, 0.5352)
Na (0.5586, 0.4726, 0.0352)
Na (0.7715, 0.2646, 0.0020)
Na (0.8261, 0.1086, 0.5590)
Na (0.9661, 0.0339, 0.0000)
Sn (0.3785, 0.6655, 0.0029)
Sn (0.6655, 0.3785, 0.5029)
O (0.2129, 0.3393, 0.7926)
O (0.3393, 0.2129, 0.2926)
O (0.5582, 0.8820, 0.7806)
O (0.6886, 0.8216, 0.2394)
O (0.8216, 0.6886, 0.7394)
O (0.8820, 0.5582, 0.2806)

Summary:
- polymorph energy (0 for the lowest one) (eV per atom) = 0.000
- formation energy without anion corrections (eV per atom) = -1.398
- size of the total moment (μB/cell) = 0.00

# 2
NaSnO: relaxed, PBE.

a b c (Å): 4.3432 4.3432 6.5525
angles (deg): 90.00 90.00 90.00
Fractional coordinates of all 6 atoms:
Na (0.2500, 0.7500, 0.0000)
Na (0.7500, 0.2500, 0.0000)
Sn (0.2500, 0.2500, 0.4454)
Sn (0.7500, 0.7500, 0.5546)
O (0.2500, 0.2500, 0.1396)
O (0.7500, 0.7500, 0.8604)

Summary:
- formation energy without anion corrections (eV per atom) = -1.118
- size of the total moment (μB/cell) = 0.00

# 3
Na4Sn3O8: relaxed, PBE.

a b c (Å): 9.3549 9.3549 9.3549
angles (deg): 90.00 90.00 90.00
Fractional coordinates of all 60 atoms:
Na (0.1069, 0.1250, 0.8569)
Na (0.1250, 0.6250, 0.8750)
Na (0.1250, 0.8569, 0.1069)
Na (0.1431, 0.6069, 0.3750)
Na (0.3569, 0.3931, 0.8750)
Na (0.3750, 0.1431, 0.6069)
Na (0.3750, 0.3750, 0.3750)
Na (0.3931, 0.8750, 0.3569)
Na (0.6069, 0.3750, 0.1431)
Na (0.6250, 0.6431, 0.8931)
Na (0.6250, 0.8750, 0.1250)
Na (0.6431, 0.8931, 0.6250)
Na (0.8569, 0.1069, 0.1250)
Na (0.8750, 0.1250, 0.6250)
Na (0.8750, 0.3569, 0.3931)
Na (0.8931, 0.6250, 0.6431)
Sn (0.1175, 0.3675, 0.1250)
Sn (0.1250, 0.1175, 0.3675)
Sn (0.1325, 0.8750, 0.6175)
Sn (0.3675, 0.1250, 0.1175)
Sn (0.3750, 0.8825, 0.8675)
Sn (0.3825, 0.6325, 0.6250)
Sn (0.6175, 0.1325, 0.8750)
Sn (0.6250, 0.3825, 0.6325)
Sn (0.6325, 0.6250, 0.3825)
Sn (0.8675, 0.3750, 0.8825)
Sn (0.8750, 0.6175, 0.1325)
Sn (0.8825, 0.8675, 0.3750)
O (0.0906, 0.3658, 0.9042)
O (0.0958, 0.5906, 0.1342)
O (0.1158, 0.3406, 0.3458)
O (0.1196, 0.8804, 0.3804)
O (0.1304, 0.1304, 0.1304)
O (0.1342, 0.0958, 0.5906)
O (0.1542, 0.8842, 0.8406)
O (0.1594, 0.6542, 0.6158)
O (0.3406, 0.3458, 0.1158)
O (0.3458, 0.1158, 0.3406)
O (0.3658, 0.9042, 0.0906)
O (0.3696, 0.8696, 0.6304)
O (0.3804, 0.1196, 0.8804)
O (0.3842, 0.6594, 0.8458)
O (0.4042, 0.4094, 0.6342)
O (0.4094, 0.6342, 0.4042)
O (0.5906, 0.1342, 0.0958)
O (0.5958, 0.9094, 0.8658)
O (0.6158, 0.1594, 0.6542)
O (0.6196, 0.6196, 0.6196)
O (0.6304, 0.3696, 0.8696)
O (0.6342, 0.4042, 0.4094)
O (0.6542, 0.6158, 0.1594)
O (0.6594, 0.8458, 0.3842)
O (0.8406, 0.1542, 0.8842)
O (0.8458, 0.3842, 0.6594)
O (0.8658, 0.5958, 0.9094)
O (0.8696, 0.6304, 0.3696)
O (0.8804, 0.3804, 0.1196)
O (0.8842, 0.8406, 0.1542)
O (0.9042, 0.0906, 0.3658)
O (0.9094, 0.8658, 0.5958)

Summary:
- polymorph energy (0 for the lowest one) (eV per atom) = 0.000
- formation energy without anion corrections (eV per atom) = -1.696
- size of the total moment (μB/cell) = 0.00

# 4
Na3Sn2O4: relaxed, PBE.

a b c (Å): 8.9522 8.9522 5.5835
angles (deg): 97.71 97.71 49.07
Fractional coordinates of all 18 atoms:
Na (0.0827, 0.9173, 0.7500)
Na (0.3029, 0.5477, 0.4947)
Na (0.4523, 0.6971, 0.0053)
Na (0.5477, 0.3029, 0.9947)
Na (0.6971, 0.4523, 0.5053)
Na (0.9173, 0.0827, 0.2500)
Sn (0.0168, 0.3093, 0.0087)
Sn (0.3093, 0.0168, 0.5087)
Sn (0.6907, 0.9832, 0.4913)
Sn (0.9832, 0.6907, 0.9913)
O (0.0265, 0.2003, 0.6498)
O (0.2003, 0.0265, 0.1498)
O (0.2429, 0.6033, 0.9161)
O (0.3967, 0.7571, 0.5839)
O (0.6033, 0.2429, 0.4161)
O (0.7571, 0.3967, 0.0839)
O (0.7997, 0.9735, 0.8502)
O (0.9735, 0.7997, 0.3502)

Summary:
- formation energy without anion corrections (eV per atom) = -1.385
- size of the total moment (μB/cell) = 0.00

# 5
Na2SnO3: relaxed, PBE.

a b c (Å): 5.6177 5.6177 5.8562
angles (deg): 99.43 99.43 119.94
Fractional coordinates of all 12 atoms:
Na (0.0000, 0.0000, 0.0000)
Na (0.1587, 0.8413, 0.5000)
Na (0.5000, 0.5000, 0.5000)
Na (0.8413, 0.1587, 0.5000)
Sn (0.3328, 0.6672, 0.0000)
Sn (0.6672, 0.3328, 0.0000)
O (0.0727, 0.4419, 0.2120)
O (0.2969, 0.2969, 0.7866)
O (0.4419, 0.0727, 0.2120)
O (0.5581, 0.9273, 0.7880)
O (0.7031, 0.7031, 0.2134)
O (0.9273, 0.5581, 0.7880)

Summary:
- formation energy without anion corrections (eV per atom) = -1.724
- size of the total moment (μB/cell) = 0.00

# 6
Na2SnO: relaxed, PBE.

a b c (Å): 4.8977 4.8977 4.8977
angles (deg): 60.00 60.00 60.00
Fractional coordinates of all 4 atoms:
Na (0.2500, 0.2500, 0.2500)
Na (0.7500, 0.7500, 0.7500)
Sn (0.0000, 0.0000, 0.0000)
O (0.5000, 0.5000, 0.5000)

Summary:
- polymorph energy (0 for the lowest one) (eV per atom) = 0.598
- formation energy without anion corrections (eV per atom) = 0.022
- size of the total moment (μB/cell) = 0.00

# 7
Na3SnO3: relaxed, PBE.

a b c (Å): 6.3294 6.3294 6.1589
angles (deg): 92.39 92.39 120.26
Fractional coordinates of all 14 atoms:
Na (0.2075, 0.7925, 0.0000)
Na (0.2437, 0.7563, 0.5000)
Na (0.3141, 0.3141, 0.0766)
Na (0.6859, 0.6859, 0.9234)
Na (0.7563, 0.2437, 0.5000)
Na (0.7925, 0.2075, 0.0000)
Sn (0.2589, 0.2589, 0.5931)
Sn (0.7411, 0.7411, 0.4069)
O (0.0666, 0.0666, 0.3007)
O (0.1561, 0.4635, 0.7737)
O (0.4635, 0.1561, 0.7737)
O (0.5365, 0.8439, 0.2263)
O (0.8439, 0.5365, 0.2263)
O (0.9334, 0.9334, 0.6993)

Summary:
- formation energy without anion corrections (eV per atom) = -1.382
- size of the total moment (μB/cell) = 0.00

# 8
Na4Sn5O12: relaxed, PBE.

a b c (Å): 5.9256 10.3104 10.9106
angles (deg): 72.68 76.88 78.49
Fractional coordinates of all 42 atoms:
Na (0.1369, 0.4096, 0.4028)
Na (0.2748, 0.9031, 0.0243)
Na (0.3055, 0.7839, 0.5504)
Na (0.3485, 0.5743, 0.1114)
Na (0.6515, 0.4257, 0.8886)
Na (0.6945, 0.2161, 0.4496)
Na (0.7252, 0.0969, 0.9757)
Na (0.8631, 0.5904, 0.5972)
Sn (0.1164, 0.5928, 0.8520)
Sn (0.1872, 0.2570, 0.9341)
Sn (0.2104, 0.1006, 0.6867)
Sn (0.2423, 0.0972, 0.2637)
Sn (0.4067, 0.4223, 0.6447)
Sn (0.5933, 0.5777, 0.3553)
Sn (0.7577, 0.9028, 0.7363)
Sn (0.7896, 0.8994, 0.3133)
Sn (0.8128, 0.7430, 0.0659)
Sn (0.8836, 0.4072, 0.1480)
O (0.0445, 0.2648, 0.2970)
O (0.0554, 0.9453, 0.3694)
O (0.0625, 0.4305, 0.7794)
O (0.1082, 0.1023, 0.8703)
O (0.1389, 0.7325, 0.9481)
O (0.2212, 0.4229, 0.0114)
O (0.2762, 0.5665, 0.4855)
O (0.3223, 0.2693, 0.5718)
O (0.3389, 0.1026, 0.0783)
O (0.4347, 0.5779, 0.7294)
O (0.4707, 0.9483, 0.6570)
O (0.4984, 0.7290, 0.1916)
O (0.5016, 0.2710, 0.8084)
O (0.5293, 0.0517, 0.3430)
O (0.5653, 0.4221, 0.2706)
O (0.6611, 0.8974, 0.9217)
O (0.6777, 0.7307, 0.4282)
O (0.7238, 0.4335, 0.5145)
O (0.7788, 0.5771, 0.9886)
O (0.8611, 0.2675, 0.0519)
O (0.8918, 0.8977, 0.1297)
O (0.9375, 0.5695, 0.2206)
O (0.9446, 0.0547, 0.6306)
O (0.9555, 0.7352, 0.7030)

Summary:
- formation energy without anion corrections (eV per atom) = -1.636
- size of the total moment (μB/cell) = 0.12

# 9
Na2SnO3: relaxed, PBE.

a b c (Å): 5.6211 5.6211 11.2281
angles (deg): 94.90 94.90 120.04
Fractional coordinates of all 24 atoms:
Na (0.0000, 0.5000, 0.5000)
Na (0.0850, 0.9150, 0.7500)
Na (0.1590, 0.3172, 0.9997)
Na (0.3172, 0.1590, 0.4997)
Na (0.5000, 0.0000, 0.0000)
Na (0.6828, 0.8410, 0.5003)
Na (0.8410, 0.6828, 0.0003)
Na (0.9150, 0.0850, 0.2500)
Sn (0.2488, 0.7512, 0.2500)
Sn (0.4184, 0.5816, 0.7500)
Sn (0.5816, 0.4184, 0.2500)
Sn (0.7512, 0.2488, 0.7500)
O (0.0478, 0.2471, 0.6428)
O (0.1209, 0.5810, 0.8555)
O (0.2471, 0.0478, 0.1428)
O (0.3209, 0.4902, 0.3560)
O (0.4190, 0.8791, 0.6445)
O (0.4902, 0.3209, 0.8560)
O (0.5098, 0.6791, 0.1440)
O (0.5810, 0.1209, 0.3555)
O (0.6791, 0.5098, 0.6440)
O (0.7529, 0.9522, 0.8572)
O (0.8791, 0.4190, 0.1445)
O (0.9522, 0.7529, 0.3572)

Summary:
- formation energy without anion corrections (eV per atom) = -1.725
- size of the total moment (μB/cell) = 0.00

# 10
NaSn2O4: relaxed, PBE.

a b c (Å): 5.7298 3.3020 6.0880
angles (deg): 90.00 92.79 90.00
Fractional coordinates of all 7 atoms:
Na (0.0000, 0.0000, 0.0000)
Sn (0.0000, 0.0000, 0.5000)
Sn (0.5000, 0.5000, 0.5000)
O (0.1551, 0.5000, 0.6896)
O (0.3082, 0.0000, 0.3272)
O (0.6918, 0.0000, 0.6728)
O (0.8449, 0.5000, 0.3104)

Summary:
- polymorph energy (0 for the lowest one) (eV per atom) = 0.106
- formation energy without anion corrections (eV per atom) = -1.431
- size of the total moment (μB/cell) = 0.00

# 11
NaSn2O4: relaxed, PBE.

a b c (Å): 6.6790 6.6790 6.6790
angles (deg): 60.00 60.00 60.00
Fractional coordinates of all 14 atoms:
Na (0.1250, 0.1250, 0.1250)
Na (0.8750, 0.8750, 0.8750)
Sn (0.0000, 0.5000, 0.5000)
Sn (0.5000, 0.0000, 0.5000)
Sn (0.5000, 0.5000, 0.0000)
Sn (0.5000, 0.5000, 0.5000)
O (0.2686, 0.2686, 0.2686)
O (0.2686, 0.2686, 0.6942)
O (0.2686, 0.6942, 0.2686)
O (0.3058, 0.7314, 0.7314)
O (0.6942, 0.2686, 0.2686)
O (0.7314, 0.3058, 0.7314)
O (0.7314, 0.7314, 0.3058)
O (0.7314, 0.7314, 0.7314)

Summary:
- polymorph energy (0 for the lowest one) (eV per atom) = 0.000
- formation energy without anion corrections (eV per atom) = -1.537
- size of the total moment (μB/cell) = 0.00

# 12
Na3SnO: relaxed, PBE.

a b c (Å): 4.7390 4.7390 4.7390
angles (deg): 90.00 90.00 90.00
Fractional coordinates of all 5 atoms:
Na (0.0000, 0.0000, 0.5000)
Na (0.0000, 0.5000, 0.0000)
Na (0.5000, 0.0000, 0.0000)
Sn (0.5000, 0.5000, 0.5000)
O (0.0000, 0.0000, 0.0000)

Summary:
- polymorph energy (0 for the lowest one) (eV per atom) = 0.000
- formation energy without anion corrections (eV per atom) = -0.544
- size of the total moment (μB/cell) = 0.00

# 13
Na4Sn3O8: relaxed, PBE.

a b c (Å): 6.9492 6.9492 6.9492
angles (deg): 55.13 55.13 55.13
Fractional coordinates of all 15 atoms:
Na (0.0000, 0.0000, 0.0000)
Na (0.1424, 0.1424, 0.1424)
Na (0.5000, 0.5000, 0.5000)
Na (0.8576, 0.8576, 0.8576)
Sn (0.0000, 0.5000, 0.5000)
Sn (0.5000, 0.0000, 0.5000)
Sn (0.5000, 0.5000, 0.0000)
O (0.2438, 0.2438, 0.7039)
O (0.2438, 0.7039, 0.2438)
O (0.2690, 0.2690, 0.2690)
O (0.2961, 0.7562, 0.7562)
O (0.7039, 0.2438, 0.2438)
O (0.7310, 0.7310, 0.7310)
O (0.7562, 0.2961, 0.7562)
O (0.7562, 0.7562, 0.2961)

Summary:
- polymorph energy (0 for the lowest one) (eV per atom) = 0.032
- formation energy without anion corrections (eV per atom) = -1.664
- size of the total moment (μB/cell) = 0.00

# 14
Na2SnO3: relaxed, PBE.

a b c (Å): 10.7408 10.2370 5.7156
angles (deg): 79.11 69.38 31.50
Fractional coordinates of all 24 atoms:
Na (0.0469, 0.0469, 0.2031)
Na (0.1205, 0.1205, 0.6295)
Na (0.2031, 0.2031, 0.0469)
Na (0.3705, 0.3705, 0.8795)
Na (0.6295, 0.6295, 0.1205)
Na (0.7969, 0.7969, 0.9531)
Na (0.8795, 0.8795, 0.3705)
Na (0.9531, 0.9531, 0.7969)
Sn (0.2907, 0.2907, 0.4593)
Sn (0.4593, 0.4593, 0.2907)
Sn (0.5407, 0.5407, 0.7093)
Sn (0.7093, 0.7093, 0.5407)
O (0.0394, 0.5267, 0.2516)
O (0.1670, 0.5830, 0.5830)
O (0.2516, 0.6823, 0.0394)
O (0.3177, 0.7484, 0.4733)
O (0.4170, 0.8330, 0.8330)
O (0.4733, 0.9606, 0.3177)
O (0.5267, 0.0394, 0.6823)
O (0.5830, 0.1670, 0.1670)
O (0.6823, 0.2516, 0.5267)
O (0.7484, 0.3177, 0.9606)
O (0.8330, 0.4170, 0.4170)
O (0.9606, 0.4733, 0.7484)

Summary:
- formation energy without anion corrections (eV per atom) = -1.720
- size of the total moment (μB/cell) = 0.00

# 15
Na2Sn4O9: relaxed, PBE.

a b c (Å): 5.5058 5.5058 14.7459
angles (deg): 90.00 90.00 120.00
Fractional coordinates of all 30 atoms:
Na (0.0000, 0.0000, 0.1476)
Na (0.0000, 0.0000, 0.3524)
Na (0.0000, 0.0000, 0.6476)
Na (0.0000, 0.0000, 0.8524)
Sn (0.3333, 0.6667, 0.0240)
Sn (0.3333, 0.6667, 0.3121)
Sn (0.3333, 0.6667, 0.5240)
Sn (0.3333, 0.6667, 0.8121)
Sn (0.6667, 0.3333, 0.1879)
Sn (0.6667, 0.3333, 0.4760)
Sn (0.6667, 0.3333, 0.6879)
Sn (0.6667, 0.3333, 0.9760)
O (0.0000, 0.3391, 0.2500)
O (0.0000, 0.6609, 0.7500)
O (0.0398, 0.3994, 0.9205)
O (0.0398, 0.6404, 0.4205)
O (0.3391, 0.0000, 0.2500)
O (0.3391, 0.3391, 0.7500)
O (0.3596, 0.3994, 0.4205)
O (0.3596, 0.9602, 0.9205)
O (0.3994, 0.0398, 0.5795)
O (0.3994, 0.3596, 0.0795)
O (0.6006, 0.6404, 0.9205)
O (0.6006, 0.9602, 0.4205)
O (0.6404, 0.0398, 0.0795)
O (0.6404, 0.6006, 0.5795)
O (0.6609, 0.0000, 0.7500)
O (0.6609, 0.6609, 0.2500)
O (0.9602, 0.3596, 0.5795)
O (0.9602, 0.6006, 0.0795)

Summary:
- formation energy without anion corrections (eV per atom) = -1.627
- size of the total moment (μB/cell) = 0.00